TaP3O | PBE | relaxed

```
TaP3O
1.0
4.086 0.000 0.000
0.000 4.086 0.000
0.000 0.000 4.086
P O Ta
3 1 1
Cartesian
0.000 2.043 0.000
0.000 0.000 2.043
2.043 0.000 0.000
0.000 0.000 0.000
2.043 2.043 2.043
```

E (Ha/atom): -0.2320
D(E_F) (states/eV per cell): 2.5
E_form (uncorrected) (eV/f.u.): 1.5
Calculated volume (A^3/atom): 13.6
Total magnetization (μB/cell): 0.0
Space-group type: Pm-3m

***

TaPO5 | PBE | relaxed

```
TaPO5
1.0
-3.241 2.712 3.377
-5.425 -2.354 -3.316
-0.327 -9.053 6.958
Ta P O
4 4 20
Cartesian
-3.490 -2.321 5.015
-5.503 -6.374 2.004
-4.534 -7.229 7.954
-4.459 -1.466 -0.935
-7.754 -1.648 0.381
-1.239 -7.047 6.638
-5.508 -5.128 5.332
-3.485 -3.567 1.687
-2.713 -1.177 -1.658
-4.333 0.179 0.031
-1.784 -3.170 5.168
-0.163 -4.526 3.479
-1.135 -8.192 5.626
-6.339 -1.774 -0.190
-7.858 -0.503 1.393
-2.654 -6.921 7.209
-3.607 -2.884 3.052
-6.905 -4.540 5.550
-5.386 -5.811 3.967
-2.088 -4.155 1.469
-5.235 -6.174 6.435
-3.758 -2.521 0.585
-2.695 -0.615 4.407
-6.299 -8.080 2.612
-4.446 -4.014 5.457
-4.548 -4.681 1.562
-3.339 0.927 2.550
-5.654 -9.622 4.469
```

Excess energy over the best structure of this formula in the dataset (eV per atom): 0.0000
E (Ha/atom): -0.3167
D(E_F) (states/eV per cell): 0.0
E_form (uncorrected) (eV/f.u.): -18.3
Calculated volume (A^3/atom): 15.0
Total magnetization (μB/cell): 0.0
Space-group type: P2_1/m

***

TaPO5 | PBE | relaxed

```
TaPO5
1.0
-8.333 -6.211 -0.251
-3.887 -6.291 5.316
-6.564 2.665 0.765
Ta P O
4 4 20
Cartesian
-11.221 -6.780 2.095
-7.056 -3.675 2.220
-14.503 -5.448 2.477
-13.166 -9.925 4.752
-8.716 -0.997 3.607
-11.958 -3.687 1.598
-11.149 -7.519 5.456
-6.849 -6.121 4.300
-10.695 -7.094 4.039
-8.415 -4.316 1.016
-7.682 -4.967 3.669
-11.072 -3.370 0.369
-7.106 -0.020 1.095
-6.430 -2.383 0.771
-5.698 -3.033 3.424
-9.333 -6.785 1.717
-13.109 -6.776 2.474
-3.415 -0.256 0.402
-8.440 -2.314 2.842
-5.671 -5.036 1.599
-11.372 -10.190 3.820
-5.391 -5.598 4.455
-2.923 -2.584 2.026
-13.353 -4.287 1.257
-15.654 -6.610 3.698
-11.187 -4.766 2.415
-7.004 -7.330 3.346
-12.607 -8.042 5.301
```

Excess energy over the best structure of this formula in the dataset (eV per atom): 0.1200
E (Ha/atom): -0.3123
D(E_F) (states/eV per cell): 0.0
E_form (uncorrected) (eV/f.u.): -17.4
Calculated volume (A^3/atom): 13.2
Total magnetization (μB/cell): 0.0
Space-group type: Fddd

***

TaPO3 | PBE | relaxed

```
TaPO3
1.0
3.967 0.000 0.000
0.000 3.967 0.000
0.000 0.000 3.967
P O Ta
1 3 1
Cartesian
1.984 1.984 1.984
0.000 1.984 0.000
0.000 0.000 1.984
1.984 0.000 0.000
0.000 0.000 0.000
```

E (Ha/atom): -0.2839
D(E_F) (states/eV per cell): 2.2
E_form (uncorrected) (eV/f.u.): -6.5
Calculated volume (A^3/atom): 12.5
Total magnetization (μB/cell): 0.0
Space-group type: Pm-3m

***

TaPO3 | PBE | relaxed

```
TaPO3
1.0
3.746 0.000 0.000
0.000 3.746 0.000
0.000 0.000 3.746
P O Ta
1 3 1
Cartesian
0.000 0.000 0.000
0.000 1.873 0.000
0.000 0.000 1.873
1.873 0.000 0.000
1.873 1.873 1.873
```

E (Ha/atom): -0.2459
D(E_F) (states/eV per cell): 2.8
E_form (uncorrected) (eV/f.u.): -1.3
Calculated volume (A^3/atom): 10.5
Total magnetization (μB/cell): 2.5
Space-group type: Pm-3m

***

TaPO | PBE | relaxed

```
TaPO
1.0
-0.432 -2.304 2.307
4.577 -2.875 -2.014
4.249 3.426 1.874
O P Ta
2 2 2
Cartesian
5.244 -0.157 0.827
3.150 -1.597 1.340
3.081 0.619 3.540
5.314 -2.373 -1.374
5.254 -2.160 1.173
3.140 0.406 0.993
```

E (Ha/atom): -0.3233
D(E_F) (states/eV per cell): 2.1
E_form (uncorrected) (eV/f.u.): -4.2
Calculated volume (A^3/atom): 17.2
Total magnetization (μB/cell): 0.0
Space-group type: C2/m

***

TaP2O7 | PBE | relaxed

```
TaP2O7
1.0
8.410 0.000 0.000
0.000 8.410 0.000
0.000 0.000 8.410
Ta P O
4 8 28
Cartesian
4.205 4.205 4.205
0.000 4.205 0.000
4.205 0.000 0.000
0.000 0.000 4.205
0.917 0.917 0.917
7.493 7.493 7.493
3.288 7.493 5.122
7.493 5.122 3.288
5.122 0.917 3.288
0.917 3.288 5.122
5.122 3.288 7.493
3.288 5.122 0.917
0.000 0.000 0.000
4.205 0.000 4.205
0.000 4.205 4.205
4.205 4.205 0.000
0.491 2.355 0.676
7.919 6.055 7.734
3.714 6.055 4.881
7.919 6.560 3.529
0.676 0.491 2.355
4.696 2.355 3.529
0.491 1.850 4.881
7.734 7.919 6.055
4.696 1.850 7.734
4.881 3.714 6.055
3.714 6.560 0.676
3.529 4.696 2.355
3.529 7.919 6.560
4.881 0.491 1.850
7.734 4.696 1.850
0.676 3.714 6.560
2.355 0.676 0.491
6.055 7.734 7.919
6.560 3.529 7.919
1.850 4.881 0.491
1.850 7.734 4.696
6.560 0.676 3.714
6.055 4.881 3.714
2.355 3.529 4.696
```

E (Ha/atom): -0.2950
D(E_F) (states/eV per cell): 16.5
E_form (uncorrected) (eV/f.u.): -22.9
Calculated volume (A^3/atom): 14.9
Total magnetization (μB/cell): 4.0
Space-group type: Pa-3

***

TaTcP2O | PBE | relaxed

```
TaTcP2O
1.0
4.767 0.000 0.000
0.000 4.767 0.000
0.000 0.000 3.594
P Tc O Ta
2 1 1 1
Cartesian
0.000 2.383 0.000
2.383 0.000 0.000
0.000 0.000 0.000
0.000 0.000 1.797
2.383 2.383 1.797
```

Excess energy over the best structure of this formula in the dataset (eV per atom): 0.2100
E (Ha/atom): -0.2717
D(E_F) (states/eV per cell): 5.6
E_form (uncorrected) (eV/f.u.): 1.0
Calculated volume (A^3/atom): 16.3
Total magnetization (μB/cell): 0.0
Space-group type: P4/mmm

***

TaTcP2O | PBE | relaxed

```
TaTcP2O
1.0
4.917 0.000 0.000
0.000 4.917 0.000
0.000 0.000 3.801
P Tc O Ta
2 1 1 1
Cartesian
0.000 2.458 0.000
2.458 0.000 0.000
2.458 2.458 1.900
0.000 0.000 1.900
0.000 0.000 0.000
```

Excess energy over the best structure of this formula in the dataset (eV per atom): 0.0000
E (Ha/atom): -0.2794
D(E_F) (states/eV per cell): 2.4
E_form (uncorrected) (eV/f.u.): 0.0
Calculated volume (A^3/atom): 18.4
Total magnetization (μB/cell): 3.6
Space-group type: P4/mmm

***

TaTeP2O | PBE | relaxed

```
TaTeP2O
1.0
4.978 0.000 0.000
0.000 4.978 0.000
0.000 0.000 3.849
P Te O Ta
2 1 1 1
Cartesian
0.000 2.489 0.000
2.489 0.000 0.000
0.000 0.000 0.000
0.000 0.000 1.924
2.489 2.489 1.924
```

Excess energy over the best structure of this formula in the dataset (eV per atom): 1.2658
E (Ha/atom): -0.1969
D(E_F) (states/eV per cell): 4.7
E_form (uncorrected) (eV/f.u.): 4.0
Calculated volume (A^3/atom): 19.1
Total magnetization (μB/cell): 1.1
Space-group type: P4/mmm

***

TaTeP2O | PBE | relaxed

```
TaTeP2O
1.0
-1.747 -1.836 -4.318
3.410 -3.662 0.177
-2.488 -2.223 1.951
P Te O Ta
2 1 1 1
Cartesian
1.705 -1.831 0.089
-0.873 -0.918 -2.159
-0.412 -3.860 -1.095
-1.244 -1.111 0.976
0.000 0.000 0.000
```

Excess energy over the best structure of this formula in the dataset (eV per atom): 0.0000
E (Ha/atom): -0.2434
D(E_F) (states/eV per cell): 2.3
E_form (uncorrected) (eV/f.u.): -2.3
Calculated volume (A^3/atom): 19.4
Total magnetization (μB/cell): 0.0
Space-group type: P4/mmm

***

TaTeP2O | PBE | relaxed

```
TaTeP2O
1.0
-2.055 4.079 1.891
-4.731 -1.894 -1.056
-0.140 -2.136 4.456
P Te O Ta
2 1 1 1
Cartesian
-0.070 -1.068 2.228
-1.028 2.040 0.945
0.000 0.000 0.000
-3.463 0.025 2.645
-2.365 -0.947 -0.528
```

Excess energy over the best structure of this formula in the dataset (eV per atom): 2.5845
E (Ha/atom): -0.1484
D(E_F) (states/eV per cell): 8.5
E_form (uncorrected) (eV/f.u.): 10.6
Calculated volume (A^3/atom): 25.4
Total magnetization (μB/cell): 0.0
Space-group type: P4/mmm

***

TaTePO2 | PBE | relaxed

```
TaTePO2
1.0
3.913 0.000 0.000
0.000 3.913 0.000
0.000 0.000 5.565
P Te O Ta
1 1 2 1
Cartesian
0.000 0.000 2.782
1.956 1.956 2.782
0.000 1.956 0.000
1.956 0.000 0.000
0.000 0.000 0.000
```

Excess energy over the best structure of this formula in the dataset (eV per atom): 0.0000
E (Ha/atom): -0.2699
D(E_F) (states/eV per cell): 1.7
E_form (uncorrected) (eV/f.u.): -6.4
Calculated volume (A^3/atom): 17.0
Total magnetization (μB/cell): 0.0
Space-group type: P4/mmm

***

TaTePO2 | PBE | relaxed

```
TaTePO2
1.0
3.947 0.000 0.000
0.000 3.947 0.000
0.000 0.000 5.510
P Te O Ta
1 1 2 1
Cartesian
0.000 0.000 2.755
0.000 0.000 0.000
0.000 1.974 0.000
1.974 0.000 0.000
1.974 1.974 2.755
```

Excess energy over the best structure of this formula in the dataset (eV per atom): 1.5206
E (Ha/atom): -0.2141
D(E_F) (states/eV per cell): 5.0
E_form (uncorrected) (eV/f.u.): 1.2
Calculated volume (A^3/atom): 17.2
Total magnetization (μB/cell): 2.1
Space-group type: P4/mmm

***

TaTiP2O | PBE | relaxed

```
TaTiP2O
1.0
-1.651 -1.444 4.380
-3.132 -3.064 -2.191
2.618 -2.736 0.085
P Ti O Ta
2 1 1 1
Cartesian
-1.566 -1.532 -1.096
-0.826 -0.722 2.190
-1.083 -3.622 1.136
1.309 -1.368 0.042
0.000 0.000 0.000
```

Excess energy over the best structure of this formula in the dataset (eV per atom): 0.0000
E (Ha/atom): -0.2808
D(E_F) (states/eV per cell): 4.5
E_form (uncorrected) (eV/f.u.): -2.7
Calculated volume (A^3/atom): 18.2
Total magnetization (μB/cell): 0.0
Space-group type: P4/mmm

***

TaTiPO2 | PBE | relaxed

```
TaTiPO2
1.0
-0.710 -1.379 -3.380
3.446 -1.388 -0.157
-1.696 -4.455 2.174
P Ti O Ta
1 1 2 1
Cartesian
-0.848 -2.228 1.087
0.000 0.000 0.000
1.723 -0.694 -0.079
-0.355 -0.690 -1.690
0.520 -3.612 -0.681
```

Excess energy over the best structure of this formula in the dataset (eV per atom): 0.3394
E (Ha/atom): -0.2991
D(E_F) (states/eV per cell): 3.4
E_form (uncorrected) (eV/f.u.): -5.6
Calculated volume (A^3/atom): 14.5
Total magnetization (μB/cell): 1.2
Space-group type: P4/mmm

***

TaTiPO2 | PBE | relaxed

```
TaTiPO2
1.0
3.872 0.000 0.000
0.000 3.872 0.000
0.000 0.000 5.260
P Ti O Ta
1 1 2 1
Cartesian
0.000 0.000 2.630
1.936 1.936 2.630
0.000 1.936 0.000
1.936 0.000 0.000
0.000 0.000 0.000
```

Excess energy over the best structure of this formula in the dataset (eV per atom): 0.0000
E (Ha/atom): -0.3115
D(E_F) (states/eV per cell): 3.8
E_form (uncorrected) (eV/f.u.): -7.3
Calculated volume (A^3/atom): 15.8
Total magnetization (μB/cell): 1.7
Space-group type: P4/mmm

***

TaTiP2O | PBE | relaxed

```
TaTiP2O
1.0
4.783 0.000 0.000
0.000 4.783 0.000
0.000 0.000 3.568
P Ti O Ta
2 1 1 1
Cartesian
0.000 2.391 0.000
2.391 0.000 0.000
0.000 0.000 0.000
0.000 0.000 1.784
2.391 2.391 1.784
```

Excess energy over the best structure of this formula in the dataset (eV per atom): 0.1556
E (Ha/atom): -0.2751
D(E_F) (states/eV per cell): 2.4
E_form (uncorrected) (eV/f.u.): -1.9
Calculated volume (A^3/atom): 16.3
Total magnetization (μB/cell): 0.0
Space-group type: P4/mmm

***

TaTlP2O | PBE | relaxed

```
TaTlP2O
1.0
-2.592 -3.864 1.874
2.557 -3.147 -2.952
2.730 -0.451 2.845
P Tl O Ta
2 1 1 1
Cartesian
1.278 -1.574 -1.476
-1.296 -1.932 0.937
0.000 0.000 0.000
1.365 -0.225 1.423
1.347 -3.731 0.884
```

Excess energy over the best structure of this formula in the dataset (eV per atom): 1.8712
E (Ha/atom): -0.1723
D(E_F) (states/eV per cell): 6.7
E_form (uncorrected) (eV/f.u.): 6.6
Calculated volume (A^3/atom): 20.0
Total magnetization (μB/cell): 0.0
Space-group type: P4/mmm

***

TaTlP2O | PBE | relaxed

```
TaTlP2O
1.0
-3.201 3.472 1.694
-2.630 -3.570 2.347
2.208 0.475 3.197
P Tl O Ta
2 1 1 1
Cartesian
-1.315 -1.785 1.173
-1.600 1.736 0.847
-1.812 0.189 3.619
1.104 0.238 1.599
0.000 0.000 0.000
```

Excess energy over the best structure of this formula in the dataset (eV per atom): 0.0000
E (Ha/atom): -0.2410
D(E_F) (states/eV per cell): 2.8
E_form (uncorrected) (eV/f.u.): -2.8
Calculated volume (A^3/atom): 19.7
Total magnetization (μB/cell): 0.0
Space-group type: P4/mmm

***

TaTlPO2 | PBE | relaxed

```
TaTlPO2
1.0
-1.040 3.638 -1.234
-0.437 -1.382 -3.707
-5.481 -1.196 1.092
P Tl O Ta
1 1 2 1
Cartesian
-2.741 -0.598 0.546
0.000 0.000 0.000
-0.218 -0.691 -1.853
-0.520 1.819 -0.617
-3.479 0.530 -1.924
```

Excess energy over the best structure of this formula in the dataset (eV per atom): 2.1873
E (Ha/atom): -0.1902
D(E_F) (states/eV per cell): 3.5
E_form (uncorrected) (eV/f.u.): 3.7
Calculated volume (A^3/atom): 18.1
Total magnetization (μB/cell): 1.3
Space-group type: P4/mmm

***

TaTlPO2 | PBE | relaxed

```
TaTlPO2
1.0
-3.046 -2.546 0.181
1.789 -2.330 -2.676
2.411 -2.608 3.882
P Tl O Ta
1 1 2 1
Cartesian
1.205 -1.304 1.941
0.577 -3.742 0.693
0.894 -1.165 -1.338
-1.523 -1.273 0.090
0.000 0.000 0.000
```

Excess energy over the best structure of this formula in the dataset (eV per atom): 0.0000
E (Ha/atom): -0.2706
D(E_F) (states/eV per cell): 1.3
E_form (uncorrected) (eV/f.u.): -7.3
Calculated volume (A^3/atom): 16.6
Total magnetization (μB/cell): 0.0
Space-group type: P4/mmm